[1]
DFT (PBE-GGA) results for crystalline YPtRh at its relaxed geometry.

Output
**Magnetic moment**: 0.00 μB/f.u.
**Energy above the most stable polymorph in this dataset**: 0.000 eV/atom
**Formation energy**: -0.9300 eV per atom

Cell lengths 5.3972, 5.3972, 5.3972 Å; angles 120.12, 120.07, 89.84 degrees
Element x y z (fractional)
Y 0.3744 0.1244 0.2500
Y 0.6256 0.8756 0.7500
Pt 0.0000 0.5000 0.5000
Pt 0.5000 0.5000 0.0000
Rh 0.0000 0.0000 0.5000
Rh 0.0000 0.5000 0.0000

=====

[2]
DFT (PBE-GGA) results for crystalline PuGaPt3 at its relaxed geometry.

Output
**Magnetic moment**: 5.32 μB/f.u.
**Formation energy**: -0.6416 eV per atom

Cell lengths 6.4968, 6.4968, 6.4968 Å; angles 129.92, 108.00, 92.82 degrees
Element x y z (fractional)
Pu 0.2496 0.9996 0.2500
Pu 0.7504 0.0004 0.7500
Ga 0.0000 0.5000 0.5000
Ga 0.5000 0.5000 0.0000
Pt 0.1932 0.0000 0.6932
Pt 0.1932 0.5000 0.1932
Pt 0.4234 0.6734 0.7500
Pt 0.5766 0.3266 0.2500
Pt 0.8068 0.0000 0.3068
Pt 0.8068 0.5000 0.8068

=====

[3]
DFT (PBE-GGA) results for crystalline Dy6YTh2 at its relaxed geometry.

Output
**Magnetic moment**: 0.00 μB/f.u.
**Formation energy**: 0.0710 eV per atom

Cell lengths 3.5655, 3.5655, 26.2873 Å; angles 90.00, 90.00, 120.00 degrees
Element x y z (fractional)
Dy 0.0000 0.0000 0.0634
Dy 0.0000 0.0000 0.2829
Dy 0.0000 0.0000 0.7171
Dy 0.0000 0.0000 0.9366
Dy 0.3333 0.6667 0.3910
Dy 0.3333 0.6667 0.6090
Y 0.0000 0.0000 0.5000
Th 0.3333 0.6667 0.1710
Th 0.3333 0.6667 0.8290

=====

[4]
DFT (PBE-GGA) results for crystalline BaLi2GeH at its relaxed geometry.

Output
**Magnetic moment**: 0.00 μB/f.u.
**Electronic total energy**: -15.72 eV per formula unit

Cell lengths 6.4937, 6.4937, 8.0875 Å; angles 90.00, 90.00, 143.89 degrees
Element x y z (fractional)
Ba 0.0490 0.9510 0.7500
Ba 0.9510 0.0490 0.2500
Li 0.3338 0.6662 0.5528
Li 0.3338 0.6662 0.9472
Li 0.6662 0.3338 0.0528
Li 0.6662 0.3338 0.4472
Ge 0.2293 0.7707 0.2500
Ge 0.7707 0.2293 0.7500
H 0.5000 0.5000 0.0000
H 0.5000 0.5000 0.5000

=====

[5]
DFT (PBE-GGA) results for crystalline KNaTl2Sb at its relaxed geometry.

Output
**Magnetic moment**: 0.00 μB/f.u.
**Formation energy from raw total energies**: -0.22 eV/atom

Cell lengths 7.6617, 7.6617, 7.6617 Å; angles 144.00, 138.75, 55.88 degrees
Element x y z (fractional)
K 0.0000 0.0000 0.0000
Na 0.2273 0.7273 0.5000
Tl 0.3873 0.3873 0.0000
Tl 0.7557 0.2557 0.5000
Sb 0.6052 0.6052 0.0000

=====

[6]
DFT (PBE-GGA) results for crystalline Ag2MoRh2 at its relaxed geometry.

Output
**Magnetic moment**: 0.99 μB/f.u.
**Energy above the most stable polymorph in this dataset**: 0.000 eV/atom
**Formation energy**: 0.4683 eV per atom

Cell lengths 6.3779, 6.3779, 4.2802 Å; angles 90.00, 90.00, 90.00 degrees
Element x y z (fractional)
Ag 0.1626 0.3374 0.0000
Ag 0.3374 0.8374 0.0000
Ag 0.6626 0.1626 0.0000
Ag 0.8374 0.6626 0.0000
Mo 0.0000 0.0000 0.5000
Mo 0.5000 0.5000 0.5000
Rh 0.1407 0.6407 0.5000
Rh 0.3593 0.1407 0.5000
Rh 0.6407 0.8593 0.5000
Rh 0.8593 0.3593 0.5000

=====

[7]
DFT (PBE-GGA) results for crystalline MgC3 at its relaxed geometry.

Output
**Magnetic moment**: 0.00 μB/f.u.
**Energy above the most stable polymorph in this dataset**: 1.016 eV/atom
**Formation energy**: 1.6801 eV per atom

Cell lengths 4.5951, 4.5951, 4.3842 Å; angles 90.00, 90.00, 120.00 degrees
Element x y z (fractional)
Mg 0.3333 0.6667 0.2500
Mg 0.6667 0.3333 0.7500
C 0.1092 0.2184 0.7500
C 0.1092 0.8908 0.7500
C 0.2184 0.1092 0.2500
C 0.7816 0.8908 0.7500
C 0.8908 0.1092 0.2500
C 0.8908 0.7816 0.2500

=====

[8]
DFT (PBE-GGA) results for crystalline KTaO3 at its relaxed geometry.

Output
**Magnetic moment**: 0.00 μB/f.u.
**Formation energy from raw total energies**: -2.59 eV/atom

Cell lengths 5.7127, 5.7127, 7.6754 Å; angles 98.99, 98.99, 39.39 degrees
Element x y z (fractional)
K 0.1202 0.1202 0.3970
K 0.8798 0.8798 0.6030
Ta 0.3765 0.3765 0.0993
Ta 0.6235 0.6235 0.9007
O 0.1730 0.1730 0.9544
O 0.3519 0.3519 0.3302
O 0.4451 0.4451 0.8418
O 0.5549 0.5549 0.1582
O 0.6481 0.6481 0.6698
O 0.8270 0.8270 0.0456